## i
Density functional theory data (PBE) for crystalline LiGd2Fe at its relaxed geometry.

M_tot	13.8	μB per formula unit
mass density	5.544	g/cm3
crystal system	trigonal
D(E_F)	3.74	states/eV per cell

Cell lengths 3.607, 3.607, 10.244 Å; angles 79.86, 79.86, 60.00 degrees
Site moments in Bohr magnetons follow the coordinates.
Positions (direct):
1 Gd 0.110 0.110 0.671  -7.24
2 Gd 0.890 0.890 0.329  -7.24
3 Fe 0.500 0.500 0.500  1.34
4 Li 0.000 0.000 0.000  -0.01

## ii
Density functional theory data (PBE) for crystalline LiGd2Fe at its relaxed geometry.

M_tot	13.7	μB per formula unit
mass density	7.395	g/cm3
crystal system	cubic
D(E_F)	5.51	states/eV per cell

Cell lengths 4.930, 4.930, 4.930 Å; angles 60.00, 60.00, 60.00 degrees
Site moments in Bohr magnetons follow the coordinates.
Positions (direct):
1 Gd 0.250 0.250 0.250  -7.29
2 Gd 0.750 0.750 0.750  -7.29
3 Fe 0.500 0.500 0.500  1.58
4 Li 0.000 0.000 0.000  -0.06

## iii
Density functional theory data (PBE) for crystalline LiGd2Fe at its relaxed geometry.

M_tot	13.3	μB per formula unit
mass density	6.648	g/cm3
crystal system	tetragonal
D(E_F)	4.40	states/eV per cell

Cell lengths 3.416, 3.416, 8.078 Å; angles 90.00, 90.00, 90.00 degrees
Site moments in Bohr magnetons follow the coordinates.
Positions (direct):
1 Gd 0.000 0.000 0.799  -7.25
2 Gd 0.000 0.000 0.201  -7.25
3 Fe 0.500 0.500 0.000  1.64
4 Li 0.500 0.500 0.500  0.00

Which is the most stable structure? iii is the most stable.